(1)
VASP calculation (GGA-PBE) on a geometry-optimized CsCa2BeC structure.

a = 6.286 Å, b = 3.446 Å, c = 6.286 Å
α = 90.00°, β = 90.00°, γ = 90.00°
Positions (direct):
Cs 0.500 0.500 0.500
Be 0.000 0.000 0.000
Ca 0.000 0.000 0.500
Ca 0.500 0.000 0.000
C 0.000 0.500 0.000

Properties
ΔH_f (0 K) (eV per atom): 0.89
Total magnetic moment (μB/cell): 0.0
Mass density (g cm⁻³): 2.86
Crystal system: tetragonal

---

(2)
VASP calculation (GGA-PBE) on a geometry-optimized HfSc3Cr structure.

a = 4.838 Å, b = 4.838 Å, c = 4.838 Å
α = 90.00°, β = 90.00°, γ = 90.00°
Positions (direct):
Sc 0.000 0.500 0.000
Sc 0.000 0.000 0.500
Sc 0.500 0.000 0.000
Cr 0.000 0.000 0.000
Hf 0.500 0.500 0.500

Properties
ΔH_f (0 K) (eV per atom): 0.56
Total magnetic moment (μB/cell): 0.0
Mass density (g cm⁻³): 5.36
Crystal system: cubic
Energy relative to the lowest polymorph listed for this composition (kcal/mol of atoms): 0.000

---

(3)
VASP calculation (GGA-PBE) on a geometry-optimized NbCuNi3 structure.

a = 4.260 Å, b = 8.791 Å, c = 6.966 Å
α = 90.00°, β = 90.00°, γ = 90.00°
Positions (direct):
Ni 0.750 0.144 0.135
Ni 0.250 0.856 0.865
Ni 0.250 0.696 0.162
Ni 0.250 0.356 0.635
Ni 0.750 0.304 0.838
Ni 0.750 0.804 0.662
Ni 0.750 0.541 0.711
Ni 0.750 0.041 0.789
Ni 0.250 0.459 0.289
Ni 0.750 0.644 0.365
Ni 0.250 0.959 0.211
Ni 0.250 0.196 0.338
Cu 0.250 0.507 0.915
Cu 0.750 0.493 0.085
Cu 0.250 0.007 0.585
Cu 0.750 0.993 0.415
Nb 0.250 0.162 0.939
Nb 0.750 0.838 0.061
Nb 0.750 0.338 0.439
Nb 0.250 0.662 0.561

Properties
ΔH_f (0 K) (eV per atom): -0.03
Total magnetic moment (μB/cell): 0.0
Mass density (g cm⁻³): 8.47
Crystal system: orthorhombic
Energy relative to the lowest polymorph listed for this composition (kcal/mol of atoms): 0.000

---

(4)
VASP calculation (GGA-PBE) on a geometry-optimized CoSi2Tc2 structure.

a = 6.745 Å, b = 6.745 Å, c = 3.019 Å
α = 90.00°, β = 90.00°, γ = 90.00°
Positions (direct):
Si 0.154 0.654 0.500
Si 0.346 0.154 0.500
Si 0.846 0.346 0.500
Si 0.654 0.846 0.500
Tc 0.143 0.357 0.000
Tc 0.357 0.857 0.000
Tc 0.643 0.143 0.000
Tc 0.857 0.643 0.000
Co 0.500 0.500 0.000
Co 0.000 0.000 0.000

Properties
Total magnetic moment (μB/cell): 0.0
Mass density (g cm⁻³): 7.52
Crystal system: tetragonal
Energy relative to the lowest polymorph listed for this composition (kcal/mol of atoms): 8.399

---

(5)
VASP calculation (GGA-PBE) on a geometry-optimized KAgF3 structure.

a = 8.058 Å, b = 8.058 Å, c = 8.058 Å
α = 60.00°, β = 60.00°, γ = 60.00°
Positions (direct):
F 0.711 0.289 0.711
F 0.711 0.289 0.289
F 0.289 0.289 0.711
F 0.289 0.711 0.289
F 0.539 0.961 0.961
F 0.539 0.961 0.539
F 0.961 0.539 0.961
F 0.961 0.961 0.539
F 0.539 0.539 0.961
F 0.711 0.711 0.289
F 0.961 0.539 0.539
F 0.289 0.711 0.711
K 0.125 0.125 0.625
K 0.125 0.125 0.125
K 0.625 0.125 0.125
K 0.125 0.625 0.125
Ag 0.625 0.125 0.625
Ag 0.125 0.625 0.625
Ag 0.625 0.625 0.625
Ag 0.625 0.625 0.125

Properties
Total magnetic moment (μB/cell): 0.0
Mass density (g cm⁻³): 3.66
E_tot (eV/cell): -73.24
Crystal system: cubic

---

(6)
VASP calculation (GGA-PBE) on a geometry-optimized BiPd3Se structure.

a = 5.072 Å, b = 5.072 Å, c = 5.072 Å
α = 90.00°, β = 90.00°, γ = 90.00°
Positions (direct):
Se 0.500 0.500 0.500
Pd 0.500 0.000 0.000
Pd 0.000 0.500 0.000
Pd 0.000 0.000 0.500
Bi 0.000 0.000 0.000

Properties
Total magnetic moment (μB/cell): 0.0
Mass density (g cm⁻³): 7.73
Crystal system: cubic
Energy relative to the lowest polymorph listed for this composition (kcal/mol of atoms): 22.575

---

(7)
VASP calculation (GGA-PBE) on a geometry-optimized La4NdSm2Mg structure.

a = 5.947 Å, b = 5.950 Å, c = 9.833 Å
α = 52.76°, β = 90.00°, γ = 90.00°
Positions (direct):
La 0.000 0.731 0.769
La 0.500 0.233 0.767
La 0.000 0.269 0.231
La 0.500 0.767 0.233
Sm 0.500 0.000 0.500
Sm 0.000 0.000 0.000
Nd 0.000 0.500 0.500
Mg 0.500 0.500 0.000

Properties
ΔH_f (0 K) (eV per atom): 0.05
Total magnetic moment (μB/cell): 0.0
Mass density (g cm⁻³): 6.14
Crystal system: orthorhombic

---

(8)
VASP calculation (GGA-PBE) on a geometry-optimized Ba2GaSiAu6 structure.

a = 7.119 Å, b = 7.122 Å, c = 7.123 Å
α = 59.92°, β = 59.93°, γ = 89.85°
Positions (direct):
Au 0.755 0.755 0.000
Au 0.245 0.755 0.000
Au 0.245 0.245 0.000
Au 0.755 0.245 0.000
Au 0.755 0.755 0.490
Au 0.245 0.245 0.510
Ba 0.750 0.250 0.500
Ba 0.250 0.750 0.500
Si 0.000 0.000 0.000
Ga 0.500 0.500 0.000

Properties
Total magnetic moment (μB/cell): 0.0
Mass density (g cm⁻³): 10.12
E_tot (eV/cell): -36.84
Crystal system: tetragonal

---

(9)
VASP calculation (GGA-PBE) on a geometry-optimized TlAg6O4 structure.

a = 6.518 Å, b = 6.518 Å, c = 6.518 Å
α = 97.64°, β = 115.69°, γ = 115.69°
Positions (direct):
Ag 0.000 0.958 0.474
Ag 0.000 0.474 0.958
Ag 0.500 0.500 0.000
Ag 0.484 0.526 0.526
Ag 0.516 0.042 0.042
Ag 0.500 0.000 0.500
Tl 0.000 0.000 0.000
O 0.458 0.264 0.264
O 0.000 0.194 0.736
O 0.542 0.806 0.806
O 0.000 0.736 0.194

Properties
Total magnetic moment (μB/cell): 0.0
Mass density (g cm⁻³): 7.36
E_tot (eV/cell): -39.61
Crystal system: tetragonal

---

(10)
VASP calculation (GGA-PBE) on a geometry-optimized TbHOs structure.

a = 3.430 Å, b = 3.631 Å, c = 15.745 Å
α = 90.00°, β = 90.00°, γ = 90.00°
Positions (direct):
H 0.251 0.750 0.304
H 0.751 0.250 0.196
H 0.749 0.250 0.696
H 0.249 0.750 0.804
Os 0.250 0.250 0.501
Os 0.250 0.250 0.001
Os 0.750 0.750 0.499
Os 0.750 0.750 0.999
Tb 0.250 0.750 0.659
Tb 0.750 0.250 0.341
Tb 0.750 0.250 0.841
Tb 0.250 0.750 0.159

Properties
Total magnetic moment (μB/cell): 0.0
Mass density (g cm⁻³): 11.86
E_tot (eV/cell): -77.32
Crystal system: orthorhombic

---

(11)
VASP calculation (GGA-PBE) on a geometry-optimized La2Cu2Au3 structure.

a = 4.211 Å, b = 7.557 Å, c = 10.029 Å
α = 90.00°, β = 102.12°, γ = 90.00°
Positions (direct):
Cu 0.696 0.951 0.392
Cu 0.696 0.549 0.392
Cu 0.304 0.451 0.608
Cu 0.304 0.049 0.608
Au 0.566 0.061 0.133
Au 0.434 0.939 0.867
Au 0.434 0.561 0.867
Au 0.566 0.439 0.133
Au 0.220 0.750 0.439
Au 0.780 0.250 0.561
La 0.939 0.250 0.877
La 0.164 0.250 0.328
La 0.836 0.750 0.672
La 0.061 0.750 0.123

Properties
ΔH_f (0 K) (eV per atom): -0.56
Total magnetic moment (μB/cell): 0.0
Mass density (g cm⁻³): 10.60
Crystal system: orthorhombic

---

(12)
VASP calculation (GGA-PBE) on a geometry-optimized Y2As3PdRh4 structure.

a = 4.028 Å, b = 4.028 Å, c = 11.081 Å
α = 90.00°, β = 90.00°, γ = 90.00°
Positions (direct):
Y 0.000 0.500 0.739
Y 0.500 0.000 0.261
As 0.000 0.000 0.500
As 0.500 0.000 0.870
As 0.000 0.500 0.130
Rh 0.000 0.000 0.000
Rh 0.500 0.000 0.659
Rh 0.500 0.500 0.000
Rh 0.000 0.500 0.341
Pd 0.500 0.500 0.500

Properties
ΔH_f (0 K) (eV per atom): -0.81
Total magnetic moment (μB/cell): 0.0
Mass density (g cm⁻³): 8.51
Crystal system: tetragonal